DFT (PBE) results for a relaxed structure of SmY4Ho2.

Properties
ΔH_f (0 K), meV/atom: 29
Excess energy over the best structure of this formula in the dataset, kJ/mol of formula units: 0
Space group: C2/m (12)

a = 3.5487 Å, b = 9.4469 Å, c = 8.5396 Å
α = 121.57°, β = 78.02°, γ = 112.04°
Fractional positions:
Sm  0.0000  0.0000  0.0000
Y  0.4104  0.7063  0.5905
Y  0.8084  0.1675  0.7188
Y  0.5896  0.2937  0.4095
Y  0.1916  0.8325  0.2812
Ho  0.3601  0.4301  0.1403
Ho  0.6399  0.5699  0.8597



DFT (PBE) results for a relaxed structure of CsCu2Se3.

Properties
Formation energy without anion corrections, eV/atom: -0.46
Space group: Cmcm (63)

a = 5.6355 Å, b = 7.3789 Å, c = 8.8067 Å
α = 114.77°, β = 90.00°, γ = 90.00°
Fractional positions:
Cs  0.7500  0.2768  0.5536
Cs  0.2500  0.7232  0.4464
Cu  0.5000  0.1818  0.0000
Cu  0.5000  0.8182  0.0000
Cu  0.0000  0.8182  0.0000
Cu  0.0000  0.1818  0.0000
Se  0.2500  0.5645  0.7980
Se  0.7500  0.4355  0.2020
Se  0.7500  0.7665  0.2020
Se  0.2500  0.2335  0.7980
Se  0.2500  0.0970  0.1940
Se  0.7500  0.9030  0.8060



DFT (PBE) results for a relaxed structure of PmSm4Ho6.

Properties
ΔH_f (0 K), meV/atom: 311
Excess energy over the best structure of this formula in the dataset, kJ/mol of formula units: 0
Space group: I-42m (121)

a = 9.7079 Å, b = 9.7079 Å, c = 9.7079 Å
α = 57.73°, β = 140.08°, γ = 140.08°
Fractional positions:
Pm  0.0000  0.0000  0.0000
Sm  0.0000  0.6359  0.0140
Sm  0.3781  0.3641  0.3641
Sm  0.0000  0.0140  0.6359
Sm  0.6219  0.9860  0.9860
Ho  0.0000  0.8054  0.4486
Ho  0.0000  0.4486  0.8054
Ho  0.3568  0.5514  0.5514
Ho  0.5000  0.5000  0.0000
Ho  0.6432  0.1946  0.1946
Ho  0.5000  0.0000  0.5000



DFT (PBE) results for a relaxed structure of Mg5TlSn.

Properties
ΔH_f (0 K), meV/atom: 7
Space group: C2/c (15)

a = 6.0423 Å, b = 6.0423 Å, c = 9.7095 Å
α = 93.37°, β = 93.37°, γ = 89.01°
Fractional positions:
Mg  0.9885  0.6471  0.2080
Mg  0.2374  0.4386  0.4948
Mg  0.6471  0.9885  0.7080
Mg  0.8267  0.1733  0.2500
Mg  0.5614  0.7626  0.0052
Mg  0.4386  0.2374  0.9948
Mg  0.1733  0.8267  0.7500
Mg  0.3529  0.0115  0.2920
Mg  0.7626  0.5614  0.5052
Mg  0.0115  0.3529  0.7920
Tl  0.0000  0.0000  0.0000
Tl  0.0000  0.0000  0.5000
Sn  0.4789  0.5211  0.2500
Sn  0.5211  0.4789  0.7500